Pr2NdYSe4 (PBE-GGA, relaxed); total DFT energy (no corrections) = -6.16 eV/atom; space-group type = P2/m, No. 10; DOS(E_F) = 4.9 states/eV/cell; formation energy without anion corrections = -1.821 eV per atom; V = 26.45 Å³/atom
1.0
7.311 0.000 0.000
0.000 4.153 0.000
-2.365 0.000 6.969
Pr Nd Y Se
2 1 1 4
direct
0.000 0.000 0.000
0.500 0.500 0.000
0.000 0.500 0.500
0.500 0.000 0.500
0.254 0.000 0.742
0.260 0.500 0.262
0.740 0.500 0.738
0.746 0.000 0.258

=====

PrNdSi (PBE-GGA, relaxed); total DFT energy (no corrections) = -5.48 eV/atom; space-group type = P-62m, No. 189; DOS(E_F) = 11.3 states/eV/cell; formation energy without anion corrections = -0.492 eV per atom; distance to the lowest polymorph of the same formula = 0 meV/atom; V = 27.65 Å³/atom
1.0
8.124 0.000 0.000
-4.062 7.035 0.000
0.000 0.000 4.354
Pr Nd Si
3 3 3
direct
0.000 0.588 0.000
0.412 0.412 0.000
0.588 0.000 0.000
0.000 0.263 0.500
0.263 0.000 0.500
0.737 0.737 0.500
0.000 0.000 0.000
0.333 0.667 0.500
0.667 0.333 0.500

=====

PrNdSi (PBE-GGA, relaxed); total DFT energy (no corrections) = -5.42 eV/atom; space-group type = F-43m, No. 216; DOS(E_F) = 12.4 states/eV/cell; formation energy without anion corrections = -0.430 eV per atom; distance to the lowest polymorph of the same formula = 62 meV/atom; V = 30.42 Å³/atom
1.0
7.147 0.000 0.000
0.000 7.147 0.000
0.000 0.000 7.147
Pr Nd Si
4 4 4
direct
0.000 0.000 0.000
0.000 0.500 0.500
0.500 0.000 0.500
0.500 0.500 0.000
0.000 0.000 0.500
0.000 0.500 0.000
0.500 0.000 0.000
0.500 0.500 0.500
0.250 0.250 0.250
0.250 0.750 0.750
0.750 0.250 0.750
0.750 0.750 0.250

=====

Pr2NdSi4 (PBE-GGA, relaxed); total DFT energy (no corrections) = -5.86 eV/atom; space-group type = Immm, No. 71; DOS(E_F) = 11.0 states/eV/cell; formation energy without anion corrections = -0.713 eV per atom; V = 22.84 Å³/atom
1.0
3.970 0.000 0.000
0.000 4.467 0.000
0.000 0.000 18.032
Pr Nd Si
4 2 8
direct
0.000 0.000 0.182
0.000 0.000 0.818
0.500 0.500 0.318
0.500 0.500 0.682
0.000 0.500 0.500
0.500 0.000 0.000
0.000 0.000 0.356
0.000 0.000 0.644
0.000 0.500 0.065
0.000 0.500 0.935
0.500 0.000 0.435
0.500 0.000 0.565
0.500 0.500 0.144
0.500 0.500 0.856

=====

Pr3NdSi4 (PBE-GGA, relaxed); total DFT energy (no corrections) = -5.61 eV/atom; space-group type = Immm, No. 71; DOS(E_F) = 14.9 states/eV/cell; formation energy without anion corrections = -0.512 eV per atom; V = 27.42 Å³/atom
1.0
4.176 0.000 0.000
0.000 6.463 0.000
0.000 0.000 16.256
Pr Nd Si
6 2 8
direct
0.000 0.000 0.000
0.000 0.500 0.194
0.000 0.500 0.806
0.500 0.000 0.306
0.500 0.000 0.694
0.500 0.500 0.500
0.000 0.000 0.500
0.500 0.500 0.000
0.000 0.319 0.369
0.000 0.319 0.631
0.000 0.681 0.369
0.000 0.681 0.631
0.500 0.181 0.131
0.500 0.181 0.869
0.500 0.819 0.131
0.500 0.819 0.869

=====

PrNdSi (PBE-GGA, relaxed); total DFT energy (no corrections) = -5.46 eV/atom; space-group type = P-1, No. 2; DOS(E_F) = 7.5 states/eV/cell; formation energy without anion corrections = -0.471 eV per atom; distance to the lowest polymorph of the same formula = 21 meV/atom; V = 28.40 Å³/atom
1.0
4.309 0.000 0.000
2.147 5.745 0.000
2.153 0.793 6.882
Pr Nd Si
2 2 2
direct
0.173 0.227 0.429
0.827 0.773 0.571
0.415 0.308 0.862
0.585 0.692 0.138
0.119 0.912 0.849
0.881 0.088 0.151

=====

PrNdSi (PBE-GGA, relaxed); total DFT energy (no corrections) = -5.27 eV/atom; space-group type = P3m1, No. 156; DOS(E_F) = 1.8 states/eV/cell; formation energy without anion corrections = -0.281 eV per atom; distance to the lowest polymorph of the same formula = 211 meV/atom; V = 28.36 Å³/atom
1.0
4.746 0.000 0.000
-2.373 4.110 0.000
0.000 0.000 4.362
Pr Nd Si
1 1 1
direct
0.000 0.000 0.000
0.667 0.333 0.549
0.333 0.667 0.313

=====

PrNdSi3 (PBE-GGA, relaxed); total DFT energy (no corrections) = -5.85 eV/atom; space-group type = Cmcm, No. 63; DOS(E_F) = 4.5 states/eV/cell; formation energy without anion corrections = -0.683 eV per atom; V = 22.11 Å³/atom
1.0
2.193 -12.507 0.000
2.193 12.507 0.000
0.000 0.000 4.029
Pr Nd Si
2 2 6
direct
0.069 0.931 0.750
0.931 0.069 0.250
0.202 0.798 0.250
0.798 0.202 0.750
0.325 0.675 0.250
0.381 0.619 0.750
0.475 0.525 0.750
0.525 0.475 0.250
0.619 0.381 0.250
0.675 0.325 0.750

=====

Pr3NdSi2 (PBE-GGA, relaxed); total DFT energy (no corrections) = -5.45 eV/atom; space-group type = C2/m, No. 12; DOS(E_F) = 13.1 states/eV/cell; formation energy without anion corrections = -0.454 eV per atom; distance to the lowest polymorph of the same formula = 4 meV/atom; V = 29.09 Å³/atom
1.0
8.720 -1.948 0.000
8.720 1.948 0.000
-5.693 0.000 10.276
Pr Nd Si
6 2 4
direct
0.076 0.076 0.429
0.077 0.077 0.927
0.350 0.350 0.765
0.650 0.650 0.235
0.923 0.923 0.073
0.924 0.924 0.571
0.348 0.348 0.264
0.652 0.652 0.736
0.268 0.268 0.453
0.268 0.268 0.953
0.732 0.732 0.047
0.732 0.732 0.547

=====

PrNdSi (PBE-GGA, relaxed); total DFT energy (no corrections) = -5.41 eV/atom; space-group type = Immm, No. 71; DOS(E_F) = 13.1 states/eV/cell; formation energy without anion corrections = -0.421 eV per atom; distance to the lowest polymorph of the same formula = 72 meV/atom; V = 29.18 Å³/atom
1.0
4.217 0.000 0.000
0.000 6.443 0.000
0.000 0.000 12.889
Pr Nd Si
4 4 4
direct
0.000 0.230 0.000
0.000 0.770 0.000
0.500 0.270 0.500
0.500 0.730 0.500
0.000 0.000 0.300
0.000 0.000 0.700
0.500 0.500 0.200
0.500 0.500 0.800
0.000 0.500 0.360
0.000 0.500 0.640
0.500 0.000 0.140
0.500 0.000 0.860

=====

PrNd3Si4 (PBE-GGA, relaxed); total DFT energy (no corrections) = -5.61 eV/atom; space-group type = Immm, No. 71; DOS(E_F) = 13.7 states/eV/cell; formation energy without anion corrections = -0.509 eV per atom; V = 26.98 Å³/atom
1.0
4.115 0.000 0.000
0.000 6.472 0.000
0.000 0.000 16.211
Pr Nd Si
2 6 8
direct
0.000 0.000 0.000
0.500 0.500 0.500
0.000 0.000 0.500
0.000 0.500 0.306
0.000 0.500 0.694
0.500 0.000 0.194
0.500 0.000 0.806
0.500 0.500 0.000
0.000 0.320 0.132
0.000 0.320 0.868
0.000 0.680 0.132
0.000 0.680 0.868
0.500 0.180 0.368
0.500 0.180 0.632
0.500 0.820 0.368
0.500 0.820 0.632

=====

Pr3NdSi2 (PBE-GGA, relaxed); total DFT energy (no corrections) = -5.45 eV/atom; space-group type = C2/m, No. 12; DOS(E_F) = 12.0 states/eV/cell; formation energy without anion corrections = -0.458 eV per atom; distance to the lowest polymorph of the same formula = 0 meV/atom; V = 28.47 Å³/atom
1.0
8.854 -2.245 0.000
8.854 2.245 0.000
-4.068 0.000 8.594
Pr Nd Si
6 2 4
direct
0.045 0.045 0.197
0.310 0.310 0.614
0.346 0.346 0.027
0.654 0.654 0.973
0.690 0.690 0.386
0.955 0.955 0.803
0.115 0.115 0.630
0.885 0.885 0.370
0.238 0.238 0.217
0.493 0.493 0.623
0.507 0.507 0.377
0.762 0.762 0.783

=====

Q: Which formula does entry 2 have?
A: PrNdSi